No. 1
# Mg14VC (PBE, relaxed)
# M_tot: 3.39 μB/f.u.
# SG: P-6m2, No. 187
# Energy of formation from the pure elements: 0.338 eV per atom
data_Mg14VC
_chemical_formula_sum 'Mg14 V1 C1'
_symmetry_space_group_name_H-M 'P 1'
_symmetry_Int_Tables_number 1
_cell_length_a 6.262
_cell_length_b 6.262
_cell_length_c 9.740
_cell_angle_alpha 90.00
_cell_angle_beta 90.00
_cell_angle_gamma 120.00
loop_
_symmetry_equiv_pos_as_xyz
'x,y,z'
loop_
_atom_site_label
_atom_site_type_symbol
_atom_site_fract_x
_atom_site_fract_y
_atom_site_fract_z
Mg1 Mg 0.000 0.000 0.247
Mg2 Mg 0.000 0.000 0.753
Mg3 Mg 0.020 0.510 0.265
Mg4 Mg 0.020 0.510 0.735
Mg5 Mg 0.325 0.163 0.500
Mg6 Mg 0.339 0.170 0.000
Mg7 Mg 0.490 0.510 0.265
Mg8 Mg 0.490 0.510 0.735
Mg9 Mg 0.490 0.980 0.265
Mg10 Mg 0.490 0.980 0.735
Mg11 Mg 0.830 0.170 0.000
Mg12 Mg 0.830 0.661 0.000
Mg13 Mg 0.837 0.163 0.500
Mg14 Mg 0.837 0.675 0.500
V1 V 0.333 0.667 0.000
C1 C 0.333 0.667 0.500

---

No. 2
# MgV2C (PBE, relaxed)
# M_tot: 0.00 μB/f.u.
# SG: R-3m, No. 166
# Energy of formation from the pure elements: -0.224 eV per atom
data_MgV2C
_chemical_formula_sum 'Mg3 V6 C3'
_symmetry_space_group_name_H-M 'P 1'
_symmetry_Int_Tables_number 1
_cell_length_a 2.963
_cell_length_b 2.963
_cell_length_c 21.301
_cell_angle_alpha 90.00
_cell_angle_beta 90.00
_cell_angle_gamma 120.00
loop_
_symmetry_equiv_pos_as_xyz
'x,y,z'
loop_
_atom_site_label
_atom_site_type_symbol
_atom_site_fract_x
_atom_site_fract_y
_atom_site_fract_z
Mg1 Mg 0.000 0.000 0.000
Mg2 Mg 0.333 0.667 0.667
Mg3 Mg 0.667 0.333 0.333
V1 V 0.000 0.000 0.217
V2 V 0.000 0.000 0.783
V3 V 0.333 0.667 0.450
V4 V 0.333 0.667 0.884
V5 V 0.667 0.333 0.116
V6 V 0.667 0.333 0.550
C1 C 0.000 0.000 0.500
C2 C 0.333 0.667 0.167
C3 C 0.667 0.333 0.833

---

No. 3
# MgV2C (PBE, relaxed)
# M_tot: 0.00 μB/f.u.
# SG: I4_1/amd, No. 141
# Energy of formation from the pure elements: 0.695 eV per atom
data_MgV2C
_chemical_formula_sum 'Mg4 V8 C4'
_symmetry_space_group_name_H-M 'P 1'
_symmetry_Int_Tables_number 1
_cell_length_a 5.390
_cell_length_b 5.390
_cell_length_c 10.222
_cell_angle_alpha 90.00
_cell_angle_beta 90.00
_cell_angle_gamma 90.00
loop_
_symmetry_equiv_pos_as_xyz
'x,y,z'
loop_
_atom_site_label
_atom_site_type_symbol
_atom_site_fract_x
_atom_site_fract_y
_atom_site_fract_z
Mg1 Mg 0.000 0.250 0.375
Mg2 Mg 0.000 0.750 0.625
Mg3 Mg 0.500 0.250 0.125
Mg4 Mg 0.500 0.750 0.875
V1 V 0.000 0.000 0.000
V2 V 0.000 0.500 0.000
V3 V 0.250 0.250 0.750
V4 V 0.250 0.750 0.250
V5 V 0.500 0.000 0.500
V6 V 0.500 0.500 0.500
V7 V 0.750 0.250 0.750
V8 V 0.750 0.750 0.250
C1 C 0.000 0.250 0.875
C2 C 0.000 0.750 0.125
C3 C 0.500 0.250 0.625
C4 C 0.500 0.750 0.375

---

No. 4
# Mg6VC (PBE, relaxed)
# M_tot: 0.27 μB/f.u.
# SG: Amm2, No. 38
# Energy of formation from the pure elements: 0.203 eV per atom
data_Mg6VC
_chemical_formula_sum 'Mg12 V2 C2'
_symmetry_space_group_name_H-M 'P 1'
_symmetry_Int_Tables_number 1
_cell_length_a 3.099
_cell_length_b 9.893
_cell_length_c 10.419
_cell_angle_alpha 90.00
_cell_angle_beta 90.00
_cell_angle_gamma 90.00
loop_
_symmetry_equiv_pos_as_xyz
'x,y,z'
loop_
_atom_site_label
_atom_site_type_symbol
_atom_site_fract_x
_atom_site_fract_y
_atom_site_fract_z
Mg1 Mg 0.000 0.000 0.000
Mg2 Mg 0.000 0.154 0.725
Mg3 Mg 0.000 0.346 0.225
Mg4 Mg 0.000 0.500 0.500
Mg5 Mg 0.000 0.654 0.225
Mg6 Mg 0.000 0.846 0.725
Mg7 Mg 0.500 0.000 0.259
Mg8 Mg 0.500 0.237 0.467
Mg9 Mg 0.500 0.263 0.967
Mg10 Mg 0.500 0.500 0.759
Mg11 Mg 0.500 0.737 0.967
Mg12 Mg 0.500 0.763 0.467
V1 V 0.000 0.000 0.504
V2 V 0.000 0.500 0.004
C1 C 0.500 0.000 0.615
C2 C 0.500 0.500 0.115

---

No. 5
# MgV2C (PBE, relaxed)
# M_tot: 1.71 μB/f.u.
# SG: Fm-3m, No. 225
# Energy of formation from the pure elements: 1.231 eV per atom
data_MgV2C
_chemical_formula_sum 'Mg4 V8 C4'
_symmetry_space_group_name_H-M 'P 1'
_symmetry_Int_Tables_number 1
_cell_length_a 5.773
_cell_length_b 5.773
_cell_length_c 5.773
_cell_angle_alpha 90.00
_cell_angle_beta 90.00
_cell_angle_gamma 90.00
loop_
_symmetry_equiv_pos_as_xyz
'x,y,z'
loop_
_atom_site_label
_atom_site_type_symbol
_atom_site_fract_x
_atom_site_fract_y
_atom_site_fract_z
Mg1 Mg 0.000 0.000 0.000
Mg2 Mg 0.000 0.500 0.500
Mg3 Mg 0.500 0.000 0.500
Mg4 Mg 0.500 0.500 0.000
V1 V 0.250 0.250 0.250
V2 V 0.250 0.250 0.750
V3 V 0.250 0.750 0.250
V4 V 0.250 0.750 0.750
V5 V 0.750 0.250 0.250
V6 V 0.750 0.250 0.750
V7 V 0.750 0.750 0.250
V8 V 0.750 0.750 0.750
C1 C 0.000 0.000 0.500
C2 C 0.000 0.500 0.000
C3 C 0.500 0.000 0.000
C4 C 0.500 0.500 0.500

---

No. 6
# Mg3VC (PBE, relaxed)
# M_tot: 6.55 μB/f.u.
# SG: Pm-3m, No. 221
# Energy of formation from the pure elements: 2.189 eV per atom
data_Mg3VC
_chemical_formula_sum 'Mg3 V1 C1'
_symmetry_space_group_name_H-M 'P 1'
_symmetry_Int_Tables_number 1
_cell_length_a 5.312
_cell_length_b 5.312
_cell_length_c 5.312
_cell_angle_alpha 90.00
_cell_angle_beta 90.00
_cell_angle_gamma 90.00
loop_
_symmetry_equiv_pos_as_xyz
'x,y,z'
loop_
_atom_site_label
_atom_site_type_symbol
_atom_site_fract_x
_atom_site_fract_y
_atom_site_fract_z
Mg1 Mg 0.000 0.000 0.500
Mg2 Mg 0.000 0.500 0.000
Mg3 Mg 0.500 0.000 0.000
V1 V 0.000 0.000 0.000
C1 C 0.500 0.500 0.500

---

No. 7
# MgVC3 (PBE, relaxed)
# M_tot: 0.00 μB/f.u.
# SG: Pm-3m, No. 221
# Energy of formation from the pure elements: 1.333 eV per atom
data_MgVC3
_chemical_formula_sum 'Mg1 V1 C3'
_symmetry_space_group_name_H-M 'P 1'
_symmetry_Int_Tables_number 1
_cell_length_a 3.907
_cell_length_b 3.907
_cell_length_c 3.907
_cell_angle_alpha 90.00
_cell_angle_beta 90.00
_cell_angle_gamma 90.00
loop_
_symmetry_equiv_pos_as_xyz
'x,y,z'
loop_
_atom_site_label
_atom_site_type_symbol
_atom_site_fract_x
_atom_site_fract_y
_atom_site_fract_z
Mg1 Mg 0.000 0.000 0.000
V1 V 0.500 0.500 0.500
C1 C 0.000 0.500 0.500
C2 C 0.500 0.000 0.500
C3 C 0.500 0.500 0.000

---

No. 8
# MgVC2 (PBE, relaxed)
# M_tot: 0.00 μB/f.u.
# SG: I-42d, No. 122
# Energy of formation from the pure elements: 0.586 eV per atom
data_MgVC2
_chemical_formula_sum 'Mg4 V4 C8'
_symmetry_space_group_name_H-M 'P 1'
_symmetry_Int_Tables_number 1
_cell_length_a 4.803
_cell_length_b 4.803
_cell_length_c 9.420
_cell_angle_alpha 90.00
_cell_angle_beta 90.00
_cell_angle_gamma 90.00
loop_
_symmetry_equiv_pos_as_xyz
'x,y,z'
loop_
_atom_site_label
_atom_site_type_symbol
_atom_site_fract_x
_atom_site_fract_y
_atom_site_fract_z
Mg1 Mg 0.000 0.000 0.000
Mg2 Mg 0.000 0.500 0.250
Mg3 Mg 0.500 0.000 0.750
Mg4 Mg 0.500 0.500 0.500
V1 V 0.000 0.000 0.500
V2 V 0.000 0.500 0.750
V3 V 0.500 0.000 0.250
V4 V 0.500 0.500 0.000
C1 C 0.187 0.250 0.625
C2 C 0.250 0.687 0.875
C3 C 0.250 0.813 0.375
C4 C 0.313 0.250 0.125
C5 C 0.687 0.750 0.125
C6 C 0.750 0.187 0.375
C7 C 0.750 0.313 0.875
C8 C 0.813 0.750 0.625

---

No. 9
# MgV3C (PBE, relaxed)
# M_tot: 0.00 μB/f.u.
# SG: Pm-3m, No. 221
# Energy of formation from the pure elements: -0.030 eV per atom
data_MgV3C
_chemical_formula_sum 'Mg1 V3 C1'
_symmetry_space_group_name_H-M 'P 1'
_symmetry_Int_Tables_number 1
_cell_length_a 4.049
_cell_length_b 4.049
_cell_length_c 4.049
_cell_angle_alpha 90.00
_cell_angle_beta 90.00
_cell_angle_gamma 90.00
loop_
_symmetry_equiv_pos_as_xyz
'x,y,z'
loop_
_atom_site_label
_atom_site_type_symbol
_atom_site_fract_x
_atom_site_fract_y
_atom_site_fract_z
Mg1 Mg 0.000 0.000 0.000
V1 V 0.000 0.500 0.500
V2 V 0.500 0.000 0.500
V3 V 0.500 0.500 0.000
C1 C 0.500 0.500 0.500

---

No. 10
# Mg3VC (PBE, relaxed)
# M_tot: 4.18 μB/f.u.
# SG: Pm-3m, No. 221
# Energy of formation from the pure elements: 0.668 eV per atom
data_Mg3VC
_chemical_formula_sum 'Mg3 V1 C1'
_symmetry_space_group_name_H-M 'P 1'
_symmetry_Int_Tables_number 1
_cell_length_a 4.449
_cell_length_b 4.449
_cell_length_c 4.449
_cell_angle_alpha 90.00
_cell_angle_beta 90.00
_cell_angle_gamma 90.00
loop_
_symmetry_equiv_pos_as_xyz
'x,y,z'
loop_
_atom_site_label
_atom_site_type_symbol
_atom_site_fract_x
_atom_site_fract_y
_atom_site_fract_z
Mg1 Mg 0.000 0.000 0.500
Mg2 Mg 0.000 0.500 0.000
Mg3 Mg 0.500 0.000 0.000
V1 V 0.500 0.500 0.500
C1 C 0.000 0.000 0.000

---

No. 11
# Y2MgVC (PBE, relaxed)
# M_tot: 1.84 μB/f.u.
# SG: P4/mmm, No. 123
# Energy of formation from the pure elements: -0.149 eV per atom
data_Y2MgVC
_chemical_formula_sum 'Y2 Mg1 V1 C1'
_symmetry_space_group_name_H-M 'P 1'
_symmetry_Int_Tables_number 1
_cell_length_a 5.072
_cell_length_b 5.072
_cell_length_c 4.035
_cell_angle_alpha 90.00
_cell_angle_beta 90.00
_cell_angle_gamma 90.00
loop_
_symmetry_equiv_pos_as_xyz
'x,y,z'
loop_
_atom_site_label
_atom_site_type_symbol
_atom_site_fract_x
_atom_site_fract_y
_atom_site_fract_z
Y1 Y 0.000 0.500 0.000
Y2 Y 0.500 0.000 0.000
Mg1 Mg 0.000 0.000 0.500
V1 V 0.500 0.500 0.500
C1 C 0.500 0.500 0.000

---

No. 12
# YMgV2C (PBE, relaxed)
# M_tot: 0.00 μB/f.u.
# SG: P4/mmm, No. 123
# Energy of formation from the pure elements: 0.249 eV per atom
data_YMgV2C
_chemical_formula_sum 'Y1 Mg1 V2 C1'
_symmetry_space_group_name_H-M 'P 1'
_symmetry_Int_Tables_number 1
_cell_length_a 4.198
_cell_length_b 4.198
_cell_length_c 4.509
_cell_angle_alpha 90.00
_cell_angle_beta 90.00
_cell_angle_gamma 90.00
loop_
_symmetry_equiv_pos_as_xyz
'x,y,z'
loop_
_atom_site_label
_atom_site_type_symbol
_atom_site_fract_x
_atom_site_fract_y
_atom_site_fract_z
Y1 Y 0.000 0.000 0.000
Mg1 Mg 0.500 0.500 0.000
V1 V 0.000 0.500 0.500
V2 V 0.500 0.000 0.500
C1 C 0.500 0.500 0.500

---

No. 13
# MgZr2VC (PBE, relaxed)
# M_tot: 0.96 μB/f.u.
# SG: P4/mmm, No. 123
# Energy of formation from the pure elements: -0.237 eV per atom
data_MgZr2VC
_chemical_formula_sum 'Mg1 Zr2 V1 C1'
_symmetry_space_group_name_H-M 'P 1'
_symmetry_Int_Tables_number 1
_cell_length_a 4.649
_cell_length_b 4.649
_cell_length_c 4.022
_cell_angle_alpha 90.00
_cell_angle_beta 90.00
_cell_angle_gamma 90.00
loop_
_symmetry_equiv_pos_as_xyz
'x,y,z'
loop_
_atom_site_label
_atom_site_type_symbol
_atom_site_fract_x
_atom_site_fract_y
_atom_site_fract_z
Mg1 Mg 0.000 0.000 0.000
Zr1 Zr 0.000 0.500 0.500
Zr2 Zr 0.500 0.000 0.500
V1 V 0.500 0.500 0.000
C1 C 0.500 0.500 0.500

---

No. 14
# Mg3WC (PBE, relaxed)
# M_tot: 2.83 μB/f.u.
# SG: Pm-3m, No. 221
# Energy of formation from the pure elements: 1.043 eV per atom
data_Mg3WC
_chemical_formula_sum 'Mg3 W1 C1'
_symmetry_space_group_name_H-M 'P 1'
_symmetry_Int_Tables_number 1
_cell_length_a 4.375
_cell_length_b 4.375
_cell_length_c 4.375
_cell_angle_alpha 90.00
_cell_angle_beta 90.00
_cell_angle_gamma 90.00
loop_
_symmetry_equiv_pos_as_xyz
'x,y,z'
loop_
_atom_site_label
_atom_site_type_symbol
_atom_site_fract_x
_atom_site_fract_y
_atom_site_fract_z
Mg1 Mg 0.000 0.000 0.500
Mg2 Mg 0.000 0.500 0.000
Mg3 Mg 0.500 0.000 0.000
W1 W 0.500 0.500 0.500
C1 C 0.000 0.000 0.000

---

No. 15
# MgWC3 (PBE, relaxed)
# M_tot: 0.00 μB/f.u.
# SG: Pm-3m, No. 221
# Energy of formation from the pure elements: 3.126 eV per atom
data_MgWC3
_chemical_formula_sum 'Mg1 W1 C3'
_symmetry_space_group_name_H-M 'P 1'
_symmetry_Int_Tables_number 1
_cell_length_a 3.864
_cell_length_b 3.864
_cell_length_c 3.864
_cell_angle_alpha 90.00
_cell_angle_beta 90.00
_cell_angle_gamma 90.00
loop_
_symmetry_equiv_pos_as_xyz
'x,y,z'
loop_
_atom_site_label
_atom_site_type_symbol
_atom_site_fract_x
_atom_site_fract_y
_atom_site_fract_z
Mg1 Mg 0.000 0.000 0.000
W1 W 0.500 0.500 0.500
C1 C 0.000 0.000 0.500
C2 C 0.000 0.500 0.000
C3 C 0.500 0.000 0.000

---

No. 16
# MgWC2 (PBE, relaxed)
# M_tot: 0.00 μB/f.u.
# SG: I-42d, No. 122
# Energy of formation from the pure elements: 0.415 eV per atom
data_MgWC2
_chemical_formula_sum 'Mg4 W4 C8'
_symmetry_space_group_name_H-M 'P 1'
_symmetry_Int_Tables_number 1
_cell_length_a 4.971
_cell_length_b 4.971
_cell_length_c 9.289
_cell_angle_alpha 90.00
_cell_angle_beta 90.00
_cell_angle_gamma 90.00
loop_
_symmetry_equiv_pos_as_xyz
'x,y,z'
loop_
_atom_site_label
_atom_site_type_symbol
_atom_site_fract_x
_atom_site_fract_y
_atom_site_fract_z
Mg1 Mg 0.000 0.000 0.000
Mg2 Mg 0.000 0.500 0.250
Mg3 Mg 0.500 0.000 0.750
Mg4 Mg 0.500 0.500 0.500
W1 W 0.000 0.000 0.500
W2 W 0.000 0.500 0.750
W3 W 0.500 0.000 0.250
W4 W 0.500 0.500 0.000
C1 C 0.202 0.250 0.625
C2 C 0.250 0.702 0.875
C3 C 0.250 0.798 0.375
C4 C 0.298 0.250 0.125
C5 C 0.702 0.750 0.125
C6 C 0.750 0.202 0.375
C7 C 0.750 0.298 0.875
C8 C 0.798 0.750 0.625

---

No. 17
# Mg2WC (PBE, relaxed)
# M_tot: 0.00 μB/f.u.
# SG: I-42d, No. 122
# Energy of formation from the pure elements: 0.773 eV per atom
data_Mg2WC
_chemical_formula_sum 'Mg8 W4 C4'
_symmetry_space_group_name_H-M 'P 1'
_symmetry_Int_Tables_number 1
_cell_length_a 7.781
_cell_length_b 7.781
_cell_length_c 4.218
_cell_angle_alpha 90.00
_cell_angle_beta 90.00
_cell_angle_gamma 90.00
loop_
_symmetry_equiv_pos_as_xyz
'x,y,z'
loop_
_atom_site_label
_atom_site_type_symbol
_atom_site_fract_x
_atom_site_fract_y
_atom_site_fract_z
Mg1 Mg 0.135 0.250 0.125
Mg2 Mg 0.250 0.635 0.375
Mg3 Mg 0.250 0.865 0.875
Mg4 Mg 0.365 0.250 0.625
Mg5 Mg 0.635 0.750 0.625
Mg6 Mg 0.750 0.135 0.875
Mg7 Mg 0.750 0.365 0.375
Mg8 Mg 0.865 0.750 0.125
W1 W 0.000 0.000 0.500
W2 W 0.000 0.500 0.750
W3 W 0.500 0.000 0.250
W4 W 0.500 0.500 0.000
C1 C 0.000 0.000 0.000
C2 C 0.000 0.500 0.250
C3 C 0.500 0.000 0.750
C4 C 0.500 0.500 0.500

---

No. 18
# Mg2WC2 (PBE, relaxed)
# M_tot: 0.00 μB/f.u.
# SG: P4/mbm, No. 127
# Energy of formation from the pure elements: 0.542 eV per atom
data_Mg2WC2
_chemical_formula_sum 'Mg4 W2 C4'
_symmetry_space_group_name_H-M 'P 1'
_symmetry_Int_Tables_number 1
_cell_length_a 5.951
_cell_length_b 5.951
_cell_length_c 3.358
_cell_angle_alpha 90.00
_cell_angle_beta 90.00
_cell_angle_gamma 90.00
loop_
_symmetry_equiv_pos_as_xyz
'x,y,z'
loop_
_atom_site_label
_atom_site_type_symbol
_atom_site_fract_x
_atom_site_fract_y
_atom_site_fract_z
Mg1 Mg 0.152 0.348 0.000
Mg2 Mg 0.348 0.848 0.000
Mg3 Mg 0.652 0.152 0.000
Mg4 Mg 0.848 0.652 0.000
W1 W 0.000 0.000 0.500
W2 W 0.500 0.500 0.500
C1 C 0.173 0.673 0.500
C2 C 0.327 0.173 0.500
C3 C 0.673 0.827 0.500
C4 C 0.827 0.327 0.500

---

No. 19
# MgWC3 (PBE, relaxed)
# M_tot: 0.00 μB/f.u.
# SG: Pm-3m, No. 221
# Energy of formation from the pure elements: 1.451 eV per atom
data_MgWC3
_chemical_formula_sum 'Mg1 W1 C3'
_symmetry_space_group_name_H-M 'P 1'
_symmetry_Int_Tables_number 1
_cell_length_a 4.098
_cell_length_b 4.098
_cell_length_c 4.098
_cell_angle_alpha 90.00
_cell_angle_beta 90.00
_cell_angle_gamma 90.00
loop_
_symmetry_equiv_pos_as_xyz
'x,y,z'
loop_
_atom_site_label
_atom_site_type_symbol
_atom_site_fract_x
_atom_site_fract_y
_atom_site_fract_z
Mg1 Mg 0.000 0.000 0.000
W1 W 0.500 0.500 0.500
C1 C 0.000 0.500 0.500
C2 C 0.500 0.000 0.500
C3 C 0.500 0.500 0.000

---

No. 20
# Mg3WC (PBE, relaxed)
# M_tot: 5.09 μB/f.u.
# SG: Pm-3m, No. 221
# Energy of formation from the pure elements: 2.593 eV per atom
data_Mg3WC
_chemical_formula_sum 'Mg3 W1 C1'
_symmetry_space_group_name_H-M 'P 1'
_symmetry_Int_Tables_number 1
_cell_length_a 5.355
_cell_length_b 5.355
_cell_length_c 5.355
_cell_angle_alpha 90.00
_cell_angle_beta 90.00
_cell_angle_gamma 90.00
loop_
_symmetry_equiv_pos_as_xyz
'x,y,z'
loop_
_atom_site_label
_atom_site_type_symbol
_atom_site_fract_x
_atom_site_fract_y
_atom_site_fract_z
Mg1 Mg 0.000 0.000 0.500
Mg2 Mg 0.000 0.500 0.000
Mg3 Mg 0.500 0.000 0.000
W1 W 0.000 0.000 0.000
C1 C 0.500 0.500 0.500

---

no.,calculated total energy (eV/atom)
1,-2.20
2,-7.49
3,-6.57
4,-3.29
5,-6.03
6,-2.44
7,-6.34
8,-6.70
9,-7.66
10,-3.96
11,-6.72
12,-6.85
13,-7.64
14,-4.35
15,-5.32
16,-7.83
17,-5.57
18,-6.38
19,-6.99
20,-2.80